The following is a PBE calculation of a relaxed structure of CaCrAsBr2, from Alexandria.

Geometry as POSCAR:
```
CaCrAsBr2
1.0
4.649 0.000 0.000
0.000 4.649 0.000
0.000 0.000 6.740
Ca Cr As Br
1 1 1 2
Cartesian
0.000 0.000 0.000
0.000 0.000 3.370
2.325 2.325 0.000
0.000 2.325 3.370
2.325 0.000 3.370
```

Output
E above lowest polymorph, eV per formula unit: 3.77
Space-group type: P4/mmm, No. 123
Mass density, g/cm3: 3.7
ΔE_f (raw), eV/atom: 0.200
Raw total energy, eV/atom: -3.724